[1]
Density functional theory data (GGA-PBE) for ZrCr3N after structural relaxation.

volume: 92.4 Å³ per cell
ΔE_f (raw): 3.187 eV/atom
magnetization: 0.00 μB per formula unit
DOS at the Fermi energy: 1.297 states/eV/atom
E above lowest polymorph: 3369 meV/atom

a b c (Å): 4.520 4.520 4.520
angles (deg): 90.00 90.00 90.00
Atoms (fractional coordinates):
Zr  0.000  0.000  0.000
Cr  0.000  0.000  0.500
Cr  0.000  0.500  0.000
Cr  0.500  0.000  0.000
N  0.500  0.500  0.500

[2]
Density functional theory data (GGA-PBE) for LaPr4Y3 after structural relaxation.

volume: 557.6 Å³ per cell
magnetization: 0.00 μB per formula unit
DOS at the Fermi energy: 1.684 states/eV/atom
formation enthalpy at 0 K: 0.018 eV per atom
E above lowest polymorph: 0 meV/atom

a b c (Å): 5.168 5.210 20.709
angles (deg): 90.00 90.00 90.00
Atoms (fractional coordinates):
La  0.000  0.000  0.000
La  0.500  0.500  0.500
Pr  0.000  0.000  0.249
Pr  0.000  0.000  0.751
Pr  0.000  0.500  0.124
Pr  0.000  0.500  0.876
Pr  0.500  0.000  0.376
Pr  0.500  0.000  0.624
Pr  0.500  0.500  0.251
Pr  0.500  0.500  0.749
Y  0.000  0.000  0.500
Y  0.000  0.500  0.375
Y  0.000  0.500  0.625
Y  0.500  0.000  0.125
Y  0.500  0.000  0.875
Y  0.500  0.500  0.000

[3]
Density functional theory data (GGA-PBE) for LiLaSmEu after structural relaxation.

volume: 542.6 Å³ per cell
magnetization: 7.25 μB per formula unit
DOS at the Fermi energy: 1.398 states/eV/atom
formation enthalpy at 0 K: 0.206 eV per atom

a b c (Å): 8.156 8.156 8.156
angles (deg): 90.00 90.00 90.00
Atoms (fractional coordinates):
Li  0.000  0.000  0.000
Li  0.000  0.500  0.500
Li  0.500  0.000  0.500
Li  0.500  0.500  0.000
La  0.250  0.250  0.250
La  0.250  0.750  0.750
La  0.750  0.250  0.750
La  0.750  0.750  0.250
Sm  0.000  0.000  0.500
Sm  0.000  0.500  0.000
Sm  0.500  0.000  0.000
Sm  0.500  0.500  0.500
Eu  0.250  0.250  0.750
Eu  0.250  0.750  0.250
Eu  0.750  0.250  0.250
Eu  0.750  0.750  0.750

[4]
Density functional theory data (GGA-PBE) for TmSc2TeO8 after structural relaxation.

volume: 153.9 Å³ per cell
ΔE_f (raw): -2.502 eV/atom
magnetization: 0.00 μB per formula unit
DOS at the Fermi energy: 0.579 states/eV/atom

a b c (Å): 4.835 4.835 6.584
angles (deg): 90.00 90.00 90.51
Atoms (fractional coordinates):
Tm  0.000  0.000  0.000
Sc  0.500  0.500  0.249
Sc  0.500  0.500  0.751
Te  0.000  0.000  0.500
O  0.191  0.809  0.281
O  0.191  0.809  0.719
O  0.287  0.287  0.500
O  0.317  0.317  0.000
O  0.683  0.683  0.000
O  0.713  0.713  0.500
O  0.809  0.191  0.281
O  0.809  0.191  0.719

[5]
Density functional theory data (GGA-PBE) for In2Ga2P after structural relaxation.

volume: 227.1 Å³ per cell
magnetization: 0.00 μB per formula unit
DOS at the Fermi energy: 0.523 states/eV/atom
formation enthalpy at 0 K: 0.114 eV per atom

a b c (Å): 6.579 6.579 5.248
angles (deg): 90.00 90.00 90.00
Atoms (fractional coordinates):
In  0.179  0.321  0.000
In  0.321  0.821  0.000
In  0.679  0.179  0.000
In  0.821  0.679  0.000
Ga  0.141  0.641  0.500
Ga  0.359  0.141  0.500
Ga  0.641  0.859  0.500
Ga  0.859  0.359  0.500
P  0.000  0.000  0.500
P  0.500  0.500  0.500

[6]
Density functional theory data (GGA-PBE) for PrEu2Gd after structural relaxation.

volume: 148.5 Å³ per cell
magnetization: 7.39 μB per formula unit
DOS at the Fermi energy: 1.668 states/eV/atom
formation enthalpy at 0 K: 0.103 eV per atom

a b c (Å): 5.227 5.227 5.437
angles (deg): 90.00 90.00 90.00
Atoms (fractional coordinates):
Pr  0.000  0.000  0.000
Eu  0.000  0.500  0.500
Eu  0.500  0.000  0.500
Gd  0.500  0.500  0.000

[7]
Density functional theory data (GGA-PBE) for PaPtO after structural relaxation.

volume: 108.2 Å³ per cell
ΔE_f (raw): -2.137 eV/atom
magnetization: 0.30 μB per formula unit
DOS at the Fermi energy: 0.877 states/eV/atom
E above lowest polymorph: 0 meV/atom

a b c (Å): 8.552 8.552 8.552
angles (deg): 26.31 26.31 26.31
Atoms (fractional coordinates):
Pa  0.230  0.230  0.230
Pa  0.770  0.770  0.770
Pt  0.367  0.367  0.367
Pt  0.633  0.633  0.633
O  0.135  0.135  0.135
O  0.865  0.865  0.865

[8]
Density functional theory data (GGA-PBE) for NbCo2Au after structural relaxation.

volume: 57.1 Å³ per cell
magnetization: 0.00 μB per formula unit
DOS at the Fermi energy: 0.998 states/eV/atom
formation enthalpy at 0 K: -0.018 eV per atom
E above lowest polymorph: 25 meV/atom

a b c (Å): 3.138 3.138 5.797
angles (deg): 90.00 90.00 90.00
Atoms (fractional coordinates):
Nb  0.000  0.000  0.000
Co  0.500  0.500  0.227
Co  0.500  0.500  0.773
Au  0.000  0.000  0.500

[9]
Density functional theory data (GGA-PBE) for Ac3Pm2Sn4 after structural relaxation.

volume: 317.2 Å³ per cell
magnetization: 0.00 μB per formula unit
DOS at the Fermi energy: 0.703 states/eV/atom
formation enthalpy at 0 K: -0.616 eV per atom

a b c (Å): 7.426 7.426 10.404
angles (deg): 113.14 113.14 37.42
Atoms (fractional coordinates):
Ac  0.000  0.000  0.000
Ac  0.380  0.380  0.299
Ac  0.620  0.620  0.701
Pm  0.319  0.319  0.653
Pm  0.681  0.681  0.347
Sn  0.074  0.074  0.423
Sn  0.289  0.289  0.937
Sn  0.711  0.711  0.063
Sn  0.926  0.926  0.577

[10]
Density functional theory data (GGA-PBE) for Sr2TcPb after structural relaxation.

volume: 126.7 Å³ per cell
magnetization: 0.57 μB per formula unit
DOS at the Fermi energy: 0.876 states/eV/atom
formation enthalpy at 0 K: 0.283 eV per atom

a b c (Å): 3.727 3.727 9.121
angles (deg): 90.00 90.00 90.00
Atoms (fractional coordinates):
Sr  0.000  0.000  0.000
Sr  0.500  0.500  0.400
Tc  0.000  0.000  0.632
Pb  0.500  0.500  0.758

[11]
Density functional theory data (GGA-PBE) for KTc2SbSe after structural relaxation.

volume: 126.8 Å³ per cell
ΔE_f (raw): 1.007 eV/atom
magnetization: 2.81 μB per formula unit
DOS at the Fermi energy: 0.957 states/eV/atom

a b c (Å): 4.728 4.728 5.671
angles (deg): 90.00 90.00 90.00
Atoms (fractional coordinates):
K  0.000  0.000  0.000
Tc  0.000  0.500  0.500
Tc  0.500  0.000  0.500
Sb  0.500  0.500  0.000
Se  0.500  0.500  0.500

[12]
Density functional theory data (GGA-PBE) for Tb2Tm8Sc3 after structural relaxation.

volume: 388.2 Å³ per cell
magnetization: 0.03 μB per formula unit
DOS at the Fermi energy: 1.800 states/eV/atom
formation enthalpy at 0 K: 0.185 eV per atom
E above lowest polymorph: 0 meV/atom

a b c (Å): 11.633 11.633 5.469
angles (deg): 103.19 103.19 32.68
Atoms (fractional coordinates):
Tb  0.224  0.224  0.224
Tb  0.776  0.776  0.776
Tm  0.074  0.074  0.075
Tm  0.093  0.612  0.351
Tm  0.325  0.325  0.823
Tm  0.388  0.907  0.649
Tm  0.612  0.093  0.351
Tm  0.675  0.675  0.177
Tm  0.907  0.388  0.649
Tm  0.926  0.926  0.925
Sc  0.241  0.759  0.500
Sc  0.500  0.500  0.000
Sc  0.759  0.241  0.500

[13]
Density functional theory data (GGA-PBE) for NaTmVBr6 after structural relaxation.

volume: 556.5 Å³ per cell
ΔE_f (raw): -1.433 eV/atom
magnetization: 3.00 μB per formula unit

a b c (Å): 6.900 6.900 13.496
angles (deg): 90.00 90.00 120.00
Atoms (fractional coordinates):
Na  0.000  0.000  0.000
Na  0.000  0.000  0.500
Tm  0.333  0.667  0.250
Tm  0.667  0.333  0.750
V  0.333  0.667  0.750
V  0.667  0.333  0.250
Br  0.014  0.363  0.635
Br  0.014  0.650  0.865
Br  0.350  0.363  0.865
Br  0.350  0.986  0.635
Br  0.363  0.014  0.135
Br  0.363  0.350  0.365
Br  0.637  0.650  0.635
Br  0.637  0.986  0.865
Br  0.650  0.014  0.365
Br  0.650  0.637  0.135
Br  0.986  0.350  0.135
Br  0.986  0.637  0.365

[14]
Density functional theory data (GGA-PBE) for PmTm2Ag3Se6 after structural relaxation.

volume: 323.7 Å³ per cell
ΔE_f (raw): -1.172 eV/atom
magnetization: 0.00 μB per formula unit
DOS at the Fermi energy: 0.000 states/eV/atom

a b c (Å): 8.369 8.369 9.933
angles (deg): 106.01 106.01 29.03
Atoms (fractional coordinates):
Pm  0.000  0.000  0.000
Tm  0.335  0.335  0.663
Tm  0.665  0.665  0.337
Ag  0.000  0.000  0.500
Ag  0.326  0.326  0.044
Ag  0.674  0.674  0.956
Se  0.158  0.158  0.522
Se  0.190  0.190  0.150
Se  0.488  0.488  0.204
Se  0.512  0.512  0.796
Se  0.810  0.810  0.850
Se  0.842  0.842  0.478

[15]
Density functional theory data (GGA-PBE) for Tl2Pb2Au after structural relaxation.

volume: 297.8 Å³ per cell
magnetization: 0.00 μB per formula unit
DOS at the Fermi energy: 0.377 states/eV/atom
formation enthalpy at 0 K: 0.017 eV per atom
E above lowest polymorph: 0 meV/atom

a b c (Å): 7.075 7.075 7.518
angles (deg): 102.55 102.55 118.90
Atoms (fractional coordinates):
Tl  0.226  0.226  0.149
Tl  0.267  0.267  0.588
Tl  0.733  0.733  0.412
Tl  0.774  0.774  0.851
Pb  0.150  0.722  0.249
Pb  0.278  0.850  0.751
Pb  0.722  0.150  0.249
Pb  0.850  0.278  0.751
Au  0.379  0.621  0.000
Au  0.621  0.379  0.000

[16]
Density functional theory data (GGA-PBE) for Y2Ga2Co2C after structural relaxation.

volume: 231.6 Å³ per cell
magnetization: 0.00 μB per formula unit
DOS at the Fermi energy: 0.509 states/eV/atom
formation enthalpy at 0 K: -0.523 eV per atom

a b c (Å): 10.801 3.977 6.904
angles (deg): 90.00 128.66 90.00
Atoms (fractional coordinates):
Y  0.055  0.000  0.285
Y  0.445  0.500  0.715
Y  0.555  0.500  0.285
Y  0.945  0.000  0.715
Ga  0.161  0.500  0.709
Ga  0.339  0.000  0.291
Ga  0.661  0.000  0.709
Ga  0.839  0.500  0.291
Co  0.193  0.500  0.090
Co  0.307  0.000  0.910
Co  0.693  0.000  0.090
Co  0.807  0.500  0.910
C  0.000  0.500  0.000
C  0.500  0.000  0.000

[17]
Density functional theory data (GGA-PBE) for Sc4NiAg3 after structural relaxation.

volume: 153.8 Å³ per cell
magnetization: 0.00 μB per formula unit
DOS at the Fermi energy: 0.854 states/eV/atom
formation enthalpy at 0 K: -0.325 eV per atom

a b c (Å): 3.347 3.347 13.726
angles (deg): 90.00 90.00 90.00
Atoms (fractional coordinates):
Sc  0.000  0.000  0.109
Sc  0.000  0.000  0.370
Sc  0.000  0.000  0.630
Sc  0.000  0.000  0.891
Ni  0.500  0.500  0.000
Ag  0.500  0.500  0.241
Ag  0.500  0.500  0.500
Ag  0.500  0.500  0.759

[18]
Density functional theory data (GGA-PBE) for Li2CdGe after structural relaxation.

volume: 69.3 Å³ per cell
magnetization: 0.00 μB per formula unit
DOS at the Fermi energy: 0.370 states/eV/atom
formation enthalpy at 0 K: -0.224 eV per atom

a b c (Å): 4.139 4.139 4.044
angles (deg): 90.00 90.00 90.00
Atoms (fractional coordinates):
Li  0.000  0.500  0.000
Li  0.500  0.000  0.000
Cd  0.000  0.000  0.500
Ge  0.500  0.500  0.500